No. 1
DFT (PBE) results for crystalline Sb3Ir at its relaxed geometry.

Calculated values
The value obtained for the total moment is 0.0 μB per formula unit. The space group is Imm2. The offset from the most stable computed form comes out at 39.1 kJ/mol of atoms. For the formation energy from raw total energies, the calculation gives 1.4 kcal/mol of atoms.

Unit cell a=3.4154 b=11.9011 c=5.1308 alpha=90.00 beta=90.00 gamma=90.00
Closest atoms and distances in Å follow each position.
Positions (direct):
Sb 0.0000 0.0000 0.0000  2 Ir 2.67, 2 Sb 2.98
Sb 0.0000 0.1650 0.5641  2 Ir 2.74, 1 Sb 2.98
Sb 0.0000 0.8350 0.5641  2 Ir 2.74, 1 Sb 2.98
Sb 0.5000 0.3350 0.0641  2 Ir 2.74, 1 Sb 2.98
Sb 0.5000 0.5000 0.5000  2 Ir 2.67, 2 Sb 2.98
Sb 0.5000 0.6650 0.0641  2 Ir 2.74, 1 Sb 2.98
Ir 0.0000 0.5000 0.8991  6 Sb 2.67-2.74
Ir 0.5000 0.0000 0.3991  6 Sb 2.67-2.74

No. 2
DFT (PBE) results for crystalline Sb3Ir at its relaxed geometry.

Calculated values
The value obtained for the total moment is 0.0 μB per formula unit. The space group is Pm-3m. The offset from the most stable computed form comes out at 101.2 kJ/mol of atoms. For the formation energy from raw total energies, the calculation gives 16.2 kcal/mol of atoms.

Unit cell a=5.2431 b=5.2431 c=5.2431 alpha=90.00 beta=90.00 gamma=90.00
Closest atoms and distances in Å follow each position.
Positions (direct):
Sb 0.0000 0.0000 0.5000  2 Ir 2.62
Sb 0.0000 0.5000 0.0000  2 Ir 2.62
Sb 0.5000 0.0000 0.0000  2 Ir 2.62
Ir 0.0000 0.0000 0.0000  6 Sb 2.62

No. 3
DFT (PBE) results for crystalline SbIr5 at its relaxed geometry.

Calculated values
The value obtained for the total moment is 0.0 μB per formula unit. The space group is P-62m. For the formation energy from raw total energies, the calculation gives 3.8 kcal/mol of atoms.

Unit cell a=4.8928 b=4.8928 c=4.5229 alpha=90.00 beta=90.00 gamma=120.00
Closest atoms and distances in Å follow each position.
Positions (direct):
Sb 0.0000 0.0000 0.0000  12 Ir 2.82-2.87
Ir 0.0000 0.6381 0.5000  8 Ir 2.71-2.75, 2 Sb 2.87
Ir 0.3333 0.6667 0.0000  9 Ir 2.75-2.82, 3 Sb 2.82
Ir 0.3619 0.3619 0.5000  8 Ir 2.71-2.75, 2 Sb 2.87
Ir 0.6381 0.0000 0.5000  8 Ir 2.71-2.75, 2 Sb 2.87
Ir 0.6667 0.3333 0.0000  9 Ir 2.75-2.82, 3 Sb 2.82

No. 4
DFT (PBE) results for crystalline Sb3Ir at its relaxed geometry.

Calculated values
The value obtained for the total moment is 0.0 μB per formula unit. The space group is Im-3. The offset from the most stable computed form comes out at 0.0 kJ/mol of atoms. For the formation energy from raw total energies, the calculation gives -8.0 kcal/mol of atoms.

Unit cell a=8.1331 b=8.1331 c=8.1331 alpha=109.47 beta=109.47 gamma=109.47
Closest atoms and distances in Å follow each position.
Positions (direct):
Sb 0.1541 0.4941 0.3400  2 Ir 2.65, 1 Sb 2.89
Sb 0.1541 0.8141 0.6600  2 Ir 2.65, 1 Sb 2.89
Sb 0.1859 0.3400 0.8459  2 Ir 2.65, 1 Sb 2.89
Sb 0.3400 0.1541 0.4941  2 Ir 2.65, 1 Sb 2.89
Sb 0.3400 0.8459 0.1859  2 Ir 2.65, 1 Sb 2.89
Sb 0.4941 0.3400 0.1541  2 Ir 2.65, 1 Sb 2.89
Sb 0.5059 0.6600 0.8459  2 Ir 2.65, 1 Sb 2.89
Sb 0.6600 0.1541 0.8141  2 Ir 2.65, 1 Sb 2.89
Sb 0.6600 0.8459 0.5059  2 Ir 2.65, 1 Sb 2.89
Sb 0.8141 0.6600 0.1541  2 Ir 2.65, 1 Sb 2.89
Sb 0.8459 0.1859 0.3400  2 Ir 2.65, 1 Sb 2.89
Sb 0.8459 0.5059 0.6600  2 Ir 2.65, 1 Sb 2.89
Ir 0.0000 0.0000 0.5000  6 Sb 2.65
Ir 0.0000 0.5000 0.0000  6 Sb 2.65
Ir 0.5000 0.0000 0.0000  6 Sb 2.65
Ir 0.5000 0.5000 0.5000  6 Sb 2.65

No. 5
DFT (PBE) results for crystalline Sb4Ir3 at its relaxed geometry.

Calculated values
The value obtained for the total moment is 1.3 μB per formula unit. The space group is P6/mmm. For the formation energy from raw total energies, the calculation gives 11.5 kcal/mol of atoms.

Unit cell a=5.3490 b=5.3490 c=5.9655 alpha=90.00 beta=90.00 gamma=120.00
Closest atoms and distances in Å follow each position.
Positions (direct):
Sb 0.0000 0.0000 0.2380  2 Sb 2.84-3.13, 6 Ir 3.03
Sb 0.0000 0.0000 0.7620  2 Sb 2.84-3.13, 6 Ir 3.03
Sb 0.3333 0.6667 0.5000  3 Sb 3.09, 6 Ir 3.36
Sb 0.6667 0.3333 0.5000  3 Sb 3.09, 6 Ir 3.36
Ir 0.0000 0.5000 0.0000  4 Ir 2.67
Ir 0.5000 0.0000 0.0000  4 Ir 2.67
Ir 0.5000 0.5000 0.0000  4 Ir 2.67

No. 6
DFT (PBE) results for crystalline Sb2Ir at its relaxed geometry.

Calculated values
The value obtained for the total moment is 0.0 μB per formula unit. The space group is C2/m. For the formation energy from raw total energies, the calculation gives -0.1 kcal/mol of atoms.

Unit cell a=13.6437 b=3.1859 c=6.7338 alpha=90.00 beta=105.92 gamma=90.00
Closest atoms and distances in Å follow each position.
Positions (direct):
Sb 0.1201 0.0000 0.0674  4 Ir 2.90-2.93, 3 Sb 3.15-3.19
Sb 0.1314 0.0000 0.5755  4 Ir 2.78-2.79
Sb 0.3686 0.5000 0.4245  4 Ir 2.78-2.79
Sb 0.3799 0.5000 0.9326  4 Ir 2.90-2.93, 3 Sb 3.15-3.19
Sb 0.6201 0.5000 0.0674  4 Ir 2.90-2.93, 3 Sb 3.15-3.19
Sb 0.6314 0.5000 0.5755  4 Ir 2.78-2.79
Sb 0.8686 0.0000 0.4245  4 Ir 2.78-2.79
Sb 0.8799 0.0000 0.9326  4 Ir 2.90-2.93, 3 Sb 3.15-3.19
Ir 0.0015 0.5000 0.2776  8 Sb 2.78-2.93, 1 Ir 3.01
Ir 0.4985 0.0000 0.7224  8 Sb 2.78-2.93, 1 Ir 3.01
Ir 0.5015 0.0000 0.2776  8 Sb 2.78-2.93, 1 Ir 3.01
Ir 0.9985 0.5000 0.7224  8 Sb 2.78-2.93, 1 Ir 3.01